AlMo: optimized geometry, PBE. Values from VASP.

Raw total energy   -14.78 eV/f.u.
Magnetic moment   0.001 μB per atom

Structure (Quantum ESPRESSO input):
```
&SYSTEM
  ibrav = 0, nat = 4, ntyp = 2
/
ATOMIC_SPECIES
Al 26.98 Al.upf
Mo 95.94 Mo.upf
CELL_PARAMETERS angstrom
2.854 0.000 0.000
-1.427 2.472 0.000
0.000 0.000 8.831
ATOMIC_POSITIONS crystal
Al 0.333 0.667 0.250
Al 0.667 0.333 0.750
Mo 0.000 0.000 0.000
Mo 0.000 0.000 0.500
```